A plane-wave DFT calculation with PBE was carried out for a relaxed structure of Li4TlGaAu2.

Unit cell a=4.4715 b=4.4715 c=6.5808 alpha=90.00 beta=90.00 gamma=90.00
Last column: nearest neighbours and their distance in Å.
Fractional coordinates of all 8 atoms:
Tl  0.5000  0.5000  0.5000  8 Li 2.86-3.16, 4 Au 2.91
Li  0.0000  0.0000  0.5000  4 Li 2.86, 4 Au 2.91, 4 Tl 3.16
Ga  0.0000  0.0000  0.0000  4 Au 2.65, 4 Li 2.70
Li  0.0000  0.5000  0.2294  2 Ga 2.70, 4 Li 2.70-2.86, 2 Tl 2.86, 1 Au 2.94
Li  0.5000  0.0000  0.7706  4 Li 2.70-2.86, 2 Ga 2.70, 2 Tl 2.86, 1 Au 2.94
Au  0.5000  0.0000  0.2168  5 Li 2.65-2.94, 2 Ga 2.65, 2 Tl 2.91
Au  0.0000  0.5000  0.7832  5 Li 2.65-2.94, 2 Ga 2.65, 2 Tl 2.91
Li  0.5000  0.5000  0.0000  4 Au 2.65, 4 Li 2.70

Results
**Space-group type**: P-4m2
**Density**: 8.78 Mg/m³



A plane-wave DFT calculation with PBE was carried out for a relaxed structure of LiSmMgSe3.

Unit cell a=6.8486 b=6.8486 c=11.4890 alpha=90.00 beta=90.00 gamma=144.93
Last column: nearest neighbours and their distance in Å.
Fractional coordinates of all 12 atoms:
Sm  0.0000  0.0000  0.0000  6 Se 2.91-3.13
Mg  0.5230  0.4770  0.2500  4 Se 2.52-2.58
Li  0.2453  0.7547  0.2500  6 Se 2.93-3.17
Se  0.0959  0.9041  0.7500  2 Mg 2.58
Li  0.7547  0.2453  0.7500  6 Se 2.93-3.17
Se  0.9041  0.0959  0.2500  2 Mg 2.58
Se  0.3585  0.6415  0.9230  1 Mg 2.52
Mg  0.4770  0.5230  0.7500  4 Se 2.52-2.58
Sm  0.0000  0.0000  0.5000  6 Se 2.91-3.13
Se  0.6415  0.3585  0.4230  1 Mg 2.52
Se  0.6415  0.3585  0.0770  1 Mg 2.52
Se  0.3585  0.6415  0.5770  1 Mg 2.52

Results
**Space-group type**: Cmcm
**Density**: 4.49 Mg/m³



A plane-wave DFT calculation with PBE was carried out for a relaxed structure of NdAl8Fe4.

Unit cell a=6.6885 b=6.6885 c=6.6885 alpha=98.13 beta=98.13 gamma=135.82
Last column: nearest neighbours and their distance in Å.
Fractional coordinates of all 13 atoms:
Al  0.7240  0.5000  0.2240  4 Fe 2.54, 6 Al 2.72-2.79
Fe  0.5000  0.5000  0.5000  2 Fe 2.52, 8 Al 2.54-2.65
Fe  0.0000  0.0000  0.5000  2 Fe 2.52, 8 Al 2.54-2.65
Al  0.2760  0.5000  0.7760  4 Fe 2.54, 6 Al 2.72-2.79
Al  0.5000  0.7240  0.2240  4 Fe 2.54, 6 Al 2.72-2.79
Fe  0.5000  0.0000  0.0000  2 Fe 2.52, 8 Al 2.54-2.65
Nd  0.0000  0.0000  0.0000  12 Al 3.00-3.19, 8 Fe 3.34
Al  0.0000  0.3425  0.3425  4 Fe 2.65, 5 Al 2.72-2.79
Al  0.0000  0.6575  0.6575  4 Fe 2.65, 5 Al 2.72-2.79
Al  0.3425  0.0000  0.3425  4 Fe 2.65, 5 Al 2.72-2.79
Al  0.5000  0.2760  0.7760  4 Fe 2.54, 6 Al 2.72-2.79
Al  0.6575  0.0000  0.6575  4 Fe 2.65, 5 Al 2.72-2.79
Fe  0.0000  0.5000  0.0000  2 Fe 2.52, 8 Al 2.54-2.65

Results
**Space-group type**: I4/mmm
**Density**: 5.01 Mg/m³



A plane-wave DFT calculation with PBE was carried out for a relaxed structure of BaLi2Hg2.

Unit cell a=4.4694 b=4.4694 c=7.3967 alpha=107.59 beta=107.59 gamma=90.00
Last column: nearest neighbours and their distance in Å.
Fractional coordinates of all 5 atoms:
Li  0.2500  0.7500  0.5000  4 Hg 2.78
Hg  0.3740  0.3740  0.7480  4 Li 2.78
Hg  0.6260  0.6260  0.2520  4 Li 2.78
Ba  0.0000  0.0000  0.0000  8 Hg 3.58
Li  0.7500  0.2500  0.5000  4 Hg 2.78

Results
**Space-group type**: I4/mmm
**Density**: 6.87 Mg/m³



A plane-wave DFT calculation with PBE was carried out for a relaxed structure of TmGeTe.

Unit cell a=4.9889 b=4.9889 c=4.9889 alpha=60.00 beta=60.00 gamma=60.00
Last column: nearest neighbours and their distance in Å.
Fractional coordinates of all 3 atoms:
Te  0.7500  0.7500  0.7500  4 Tm 3.06
Ge  0.2500  0.2500  0.2500  4 Tm 3.06
Tm  0.0000  0.0000  0.0000  4 Ge 3.06, 4 Te 3.06

Results
**Space-group type**: F-43m
**Density**: 6.98 Mg/m³



A plane-wave DFT calculation with PBE was carried out for a relaxed structure of TbGePd2.

Unit cell a=4.3932 b=5.9656 c=5.7980 alpha=90.00 beta=90.00 gamma=90.00
Last column: nearest neighbours and their distance in Å.
Fractional coordinates of all 8 atoms:
Ge  0.0000  0.3857  0.3663  7 Pd 2.68-2.96
Tb  0.0000  0.9056  0.1333  7 Pd 2.94-3.09, 3 Ge 3.17-3.20
Pd  0.5000  0.6608  0.3583  4 Ge 2.74-2.96, 3 Pd 2.76-2.80, 3 Tb 2.94-3.04
Pd  0.0000  0.3392  0.8583  4 Ge 2.74-2.96, 3 Pd 2.76-2.80, 3 Tb 2.94-3.04
Tb  0.5000  0.0944  0.6333  7 Pd 2.94-3.09, 3 Ge 3.17-3.20
Ge  0.5000  0.6143  0.8663  7 Pd 2.68-2.96
Pd  0.0000  0.7516  0.6421  3 Ge 2.68-2.71, 3 Pd 2.76-2.80, 3 Tb 2.99-3.00
Pd  0.5000  0.2484  0.1421  3 Ge 2.68-2.71, 3 Pd 2.76-2.80, 3 Tb 2.99-3.00

Results
**Space-group type**: Pmn2_1
**Density**: 9.71 Mg/m³



A plane-wave DFT calculation with PBE was carried out for a relaxed structure of Y2Zr4Fe3C3.

Unit cell a=5.7618 b=5.7618 c=14.2817 alpha=102.59 beta=102.59 gamma=60.02
Last column: nearest neighbours and their distance in Å.
Fractional coordinates of all 24 atoms:
Zr  0.0250  0.2046  0.5904  3 C 2.27-2.28
Y  0.4574  0.6232  0.8803  3 C 2.54-2.58
Y  0.5426  0.3768  0.1197  3 C 2.54-2.58
Fe  0.9214  0.0786  0.7500  4 Zr 2.75-2.80, 4 Fe 2.88
C  0.8452  0.3275  0.0000  4 Zr 2.27-2.28
Zr  0.2046  0.0250  0.0904  3 C 2.27-2.28
Zr  0.6984  0.8593  0.5903  3 C 2.27-2.28
Zr  0.3016  0.1407  0.4097  3 C 2.27-2.28
Fe  0.4143  0.0920  0.7503  4 Zr 2.73-2.79, 4 Fe 2.88
C  0.3275  0.8452  0.5000  4 Zr 2.27-2.28
Zr  0.1407  0.3016  0.9097  3 C 2.27-2.28
C  0.5000  0.0000  0.0000  4 Zr 2.28, 2 Y 2.54
C  0.1548  0.6725  0.0000  4 Zr 2.27-2.28
Fe  0.5857  0.9080  0.2497  4 Zr 2.73-2.79, 4 Fe 2.88
C  0.0000  0.5000  0.5000  4 Zr 2.28, 2 Y 2.54
Zr  0.9750  0.7954  0.4096  3 C 2.27-2.28
Zr  0.7954  0.9750  0.9096  3 C 2.27-2.28
C  0.6725  0.1548  0.5000  4 Zr 2.27-2.28
Fe  0.9080  0.5857  0.7497  4 Zr 2.73-2.79, 4 Fe 2.88
Zr  0.8593  0.6984  0.0903  3 C 2.27-2.28
Y  0.3768  0.5426  0.6197  3 C 2.54-2.58
Fe  0.0786  0.9214  0.2500  4 Zr 2.75-2.80, 4 Fe 2.88
Fe  0.0920  0.4143  0.2503  4 Zr 2.73-2.79, 4 Fe 2.88
Y  0.6232  0.4574  0.3803  3 C 2.54-2.58

Results
**Space-group type**: C2/c
**Density**: 6.24 Mg/m³



A plane-wave DFT calculation with PBE was carried out for a relaxed structure of Hf2ScGa2.

Unit cell a=6.7937 b=6.7937 c=6.7937 alpha=144.72 beta=144.72 gamma=50.75
Last column: nearest neighbours and their distance in Å.
Fractional coordinates of all 5 atoms:
Sc  0.0000  0.0000  0.0000  8 Ga 3.14
Ga  0.5967  0.5967  0.0000  1 Ga 2.37
Ga  0.4033  0.4033  0.0000  1 Ga 2.37
Hf  0.7500  0.2500  0.5000  4 Ga 2.79, 4 Hf 2.91
Hf  0.2500  0.7500  0.5000  4 Ga 2.79, 4 Hf 2.91

Results
**Space-group type**: I4/mmm
**Density**: 8.64 Mg/m³



A plane-wave DFT calculation with PBE was carried out for a relaxed structure of Rb2AlFeBr6.

Unit cell a=7.4792 b=7.4792 c=7.4792 alpha=60.00 beta=60.00 gamma=60.00
Last column: nearest neighbours and their distance in Å.
Fractional coordinates of all 10 atoms:
Al  0.0000  0.0000  0.0000  6 Br 2.64
Br  0.7506  0.7506  0.2494  1 Al 2.64, 1 Fe 2.65
Br  0.2494  0.2494  0.7506  1 Al 2.64, 1 Fe 2.65
Rb  0.2500  0.2500  0.2500  12 Br 3.74
Br  0.7506  0.2494  0.7506  1 Al 2.64, 1 Fe 2.65
Rb  0.7500  0.7500  0.7500  12 Br 3.74
Br  0.7506  0.2494  0.2494  1 Al 2.64, 1 Fe 2.65
Br  0.2494  0.7506  0.7506  1 Al 2.64, 1 Fe 2.65
Br  0.2494  0.7506  0.2494  1 Al 2.64, 1 Fe 2.65
Fe  0.5000  0.5000  0.5000  6 Br 2.65

Results
**Space-group type**: Fm-3m
**Density**: 4.12 Mg/m³



A plane-wave DFT calculation with PBE was carried out for a relaxed structure of TbGdSe2F2.

Unit cell a=3.8757 b=3.8757 c=7.0417 alpha=90.00 beta=90.00 gamma=90.00
Last column: nearest neighbours and their distance in Å.
Fractional coordinates of all 6 atoms:
F  0.5000  0.0000  0.9993  2 Tb 2.46, 2 Gd 2.47, 4 F 2.74
F  0.0000  0.5000  0.9993  2 Tb 2.46, 2 Gd 2.47, 4 F 2.74
Se  0.0000  0.0000  0.6420  4 Tb 2.92, 1 Gd 3.00, 4 F 3.18
Tb  0.5000  0.5000  0.7834  4 F 2.46
Se  0.5000  0.5000  0.3597  4 Gd 2.92, 1 Tb 2.98, 4 F 3.19
Gd  0.0000  0.0000  0.2164  4 F 2.47

Results
**Space-group type**: P4mm
**Density**: 8.04 Mg/m³



Quick rundown of total energy, same order as above: -2.887 -4.497 -5.634 -1.643 -4.390 -5.661 -8.578 -6.701 -3.428 -6.206 eV/atom